Density functional theory data (PBE with a Hubbard U) for a geometry-optimized TmZrFe2O6 structure.

Values from the calculation:
Space group   P1
Energy   -79.40 eV/cell

Cell: 5.394 5.397 5.751 Å, 117.19 90.82 119.73°
Positions (direct):
Tm 0.000 0.000 0.000
Zr 0.493 0.988 0.487
Fe 0.280 0.561 0.852
Fe 0.787 0.574 0.365
O 0.075 0.497 0.185
O 0.184 0.060 0.658
O 0.426 0.105 0.184
O 0.592 0.772 0.659
O 0.670 0.748 0.173
O 0.888 0.469 0.668